Compound: Ni3AgAs
Source: the Alexandria database
Functional: GGA-PBE
Structure: optimized geometry

Computed properties:
**Formation energy from the elements**: 0.39 eV/atom
**Excess energy over the best structure of this formula in the dataset**: 0.00 kJ/mol of atoms

```
Ni3AgAs
1.0
4.337 0.000 0.000
0.000 4.337 0.000
0.000 0.000 4.337
Ni Ag As
3 1 1
Direct
0.000 0.000 0.500 Ni
0.000 0.500 0.000 Ni
0.500 0.000 0.000 Ni
0.500 0.500 0.500 Ag
0.000 0.000 0.000 As
```